# TeWBr2

A relaxed structure of TeWBr2 (PBE-GGA, Alexandria).

## Properties
The electronic total energy is -18.39 eV for the cell shown. The volume comes out at 29.00 A^3/atom. As for the space group: No. 71. The formation energy (no corrections) comes out at 0.26 eV per atom. As for the density of states at the Fermi level: 0.911 states/eV/atom.

Cell lengths 7.9210, 7.9210, 4.8704 Å; angles 72.09, 72.09, 23.57 degrees
Closest atoms and distances in Å follow each position.
Atoms (fractional coordinates):
Te 0.7500 0.7500 0.7500  4 W 2.92, 2 Te 3.24, 4 Br 3.24
Br 0.8953 0.8953 0.1046  2 W 2.68
Br 0.6047 0.6047 0.3954  2 W 2.68
W 0.2500 0.2500 0.2500  4 Br 2.68, 4 Te 2.92